No. 1
# La4MgHg

La4MgHg after structural relaxation (GGA-PBE, the Alexandria database).

Summary:
Its offset from the most stable computed form is 407 meV per atom. As for the symmetry: F-43m. Its formation energy is 0.22 eV per atom.

a = 6.570 Å, b = 6.570 Å, c = 6.570 Å
α = 60.00°, β = 60.00°, γ = 60.00°
Positions (direct):
La1 0.375 0.375 0.876
La2 0.375 0.876 0.375
La3 0.375 0.375 0.375
La4 0.876 0.375 0.375
Hg1 0.000 0.000 0.000
Mg1 0.750 0.750 0.750

=====

No. 2
# TaBeCr2

TaBeCr2 after structural relaxation (GGA-PBE, the Alexandria database).

Summary:
As for the symmetry: R-3m. Its formation energy is 0.51 eV per atom.

a = 8.702 Å, b = 8.702 Å, c = 8.702 Å
α = 17.63°, β = 17.63°, γ = 17.63°
Positions (direct):
Ta1 0.250 0.250 0.250
Be1 0.750 0.750 0.750
Cr1 0.010 0.010 0.010
Cr2 0.490 0.490 0.490

=====

No. 3
# NaCoRuCl6

NaCoRuCl6 after structural relaxation (GGA-PBE, the Alexandria database).

Summary:
As for the formation energy (no corrections): -6.92 eV/f.u. As for the symmetry: P312.

a = 6.112 Å, b = 6.112 Å, c = 6.197 Å
α = 90.00°, β = 90.00°, γ = 60.00°
Last column: magnetic moment on the atom in μB.
Positions (direct):
Ru1 0.333 0.333 0.500  -0.42
Cl1 0.643 0.992 0.292  -0.01
Cl2 0.365 0.992 0.708  -0.01
Cl3 0.643 0.365 0.708  -0.01
Cl4 0.365 0.643 0.292  -0.01
Cl5 0.992 0.643 0.708  -0.01
Cl6 0.992 0.365 0.292  -0.01
Co1 0.667 0.667 0.500  0.40
Na1 0.000 0.000 0.000  0.00

=====

No. 4
# KDyCuS3

KDyCuS3 after structural relaxation (GGA-PBE, the Alexandria database).

Summary:
As for the formation energy (no corrections): -7.62 eV/f.u. As for the symmetry: P2_1/m.

a = 3.956 Å, b = 8.714 Å, c = 9.285 Å
α = 106.99°, β = 90.00°, γ = 90.00°
Positions (direct):
S1 0.250 0.542 0.841
S2 0.750 0.184 0.537
S3 0.750 0.885 0.142
S4 0.250 0.816 0.463
S5 0.750 0.458 0.159
S6 0.250 0.115 0.858
Cu1 0.750 0.915 0.395
Cu2 0.250 0.085 0.605
K1 0.250 0.198 0.231
K2 0.750 0.802 0.769
Dy1 0.250 0.670 0.145
Dy2 0.750 0.330 0.855

=====

No. 5
# AcTmZnAg

AcTmZnAg after structural relaxation (GGA-PBE, the Alexandria database).

Summary:
As for the symmetry: F-43m. Its formation energy is -0.23 eV per atom.

a = 5.326 Å, b = 5.326 Å, c = 5.326 Å
α = 60.00°, β = 60.00°, γ = 60.00°
Positions (direct):
Ag1 0.750 0.750 0.750
Zn1 0.250 0.250 0.250
Tm1 0.500 0.500 0.500
Ac1 0.000 0.000 0.000

=====

No. 6
# LiCa3Ga

LiCa3Ga after structural relaxation (GGA-PBE, the Alexandria database).

Summary:
Its offset from the most stable computed form is 0 meV per atom. As for the symmetry: Cmcm. Its formation energy is -0.21 eV per atom.

a = 5.331 Å, b = 5.340 Å, c = 10.681 Å
α = 90.00°, β = 75.55°, γ = 90.00°
Positions (direct):
Li1 0.163 0.250 0.323
Li2 0.485 0.750 0.677
Ca1 0.074 0.750 0.501
Ca2 0.575 0.250 0.499
Ca3 0.896 0.750 0.857
Ca4 0.253 0.750 0.143
Ca5 0.396 0.250 0.857
Ca6 0.753 0.250 0.143
Ga1 0.983 0.250 0.681
Ga2 0.665 0.750 0.319

=====

No. 7
# Li2PmOsO6

Li2PmOsO6 after structural relaxation (GGA-PBE, the Alexandria database).

Summary:
As for the formation energy (no corrections): -18.73 eV/f.u. As for the symmetry: P2_1/c.

a = 5.389 Å, b = 5.579 Å, c = 7.917 Å
α = 90.00°, β = 90.30°, γ = 90.00°
Last column: magnetic moment on the atom in μB.
Positions (direct):
Li1 0.980 0.984 0.262  0.00
Li2 0.520 0.484 0.238  0.00
Li3 0.480 0.516 0.762  0.00
Li4 0.020 0.016 0.738  0.00
O1 0.622 0.080 0.278  0.02
O2 0.308 0.641 0.056  0.02
O3 0.875 0.798 0.921  0.01
O4 0.375 0.702 0.421  0.01
O5 0.878 0.580 0.222  0.02
O6 0.122 0.420 0.778  0.02
O7 0.378 0.920 0.722  0.02
O8 0.625 0.298 0.579  0.01
O9 0.125 0.202 0.079  0.01
O10 0.692 0.359 0.944  0.02
O11 0.192 0.141 0.444  0.02
O12 0.808 0.859 0.556  0.02
Os1 0.000 0.500 0.000  0.36
Os2 0.500 0.000 0.500  0.36
Pm1 0.000 0.500 0.500  0.02
Pm2 0.500 0.000 0.000  0.02

=====

No. 8
# Y2PuTl4

Y2PuTl4 after structural relaxation (GGA-PBE, the Alexandria database).

Summary:
As for the symmetry: P4/mmm. Its formation energy is -0.13 eV per atom.

a = 5.254 Å, b = 5.254 Å, c = 7.580 Å
α = 90.00°, β = 90.00°, γ = 90.00°
Last column: magnetic moment on the atom in μB.
Positions (direct):
Y1 0.500 0.500 0.500  0.04
Y2 0.000 0.000 0.000  0.17
Tl1 0.000 0.500 0.270  0.01
Tl2 0.500 0.000 0.270  0.01
Tl3 0.000 0.500 0.730  0.01
Tl4 0.500 0.000 0.730  0.01
Pu1 0.500 0.500 0.000  5.55

=====

No. 9
# La5Pr2

La5Pr2 after structural relaxation (GGA-PBE, the Alexandria database).

Summary:
Its offset from the most stable computed form is 0 meV per atom. As for the symmetry: C2/m. Its formation energy is 0.09 eV per atom.

a = 5.849 Å, b = 5.849 Å, c = 9.074 Å
α = 93.76°, β = 106.24°, γ = 117.67°
Positions (direct):
La1 0.867 0.927 0.294
La2 0.689 0.338 0.527
La3 0.311 0.662 0.473
La4 0.133 0.073 0.706
La5 0.000 0.500 0.000
Pr1 0.581 0.805 0.886
Pr2 0.419 0.195 0.114

=====

No. 10
# Nb2Zn3Ru4

Nb2Zn3Ru4 after structural relaxation (GGA-PBE, the Alexandria database).

Summary:
As for the symmetry: P-3m1. Its formation energy is -0.21 eV per atom.

a = 4.372 Å, b = 4.372 Å, c = 8.103 Å
α = 90.00°, β = 90.00°, γ = 60.00°
Positions (direct):
Ru1 0.667 0.667 0.891
Ru2 0.000 0.000 0.342
Ru3 0.333 0.333 0.109
Ru4 0.000 0.000 0.658
Nb1 0.333 0.333 0.783
Nb2 0.667 0.667 0.217
Zn1 0.000 0.000 0.000
Zn2 0.333 0.334 0.441
Zn3 0.667 0.666 0.559

=====

No. 11
# Ca8PtAu2

Ca8PtAu2 after structural relaxation (GGA-PBE, the Alexandria database).

Summary:
Its offset from the most stable computed form is 0 meV per atom. As for the symmetry: C2/m. Its formation energy is -0.53 eV per atom.

a = 6.787 Å, b = 7.858 Å, c = 7.858 Å
α = 71.92°, β = 75.58°, γ = 75.58°
Positions (direct):
Ca1 0.247 0.648 0.054
Ca2 0.214 0.580 0.580
Ca3 0.753 0.946 0.352
Ca4 0.786 0.420 0.420
Ca5 0.739 0.868 0.868
Ca6 0.753 0.352 0.946
Ca7 0.261 0.132 0.132
Ca8 0.247 0.054 0.648
Pt1 0.000 0.000 0.000
Au1 0.430 0.324 0.324
Au2 0.570 0.676 0.676

=====

No. 12
# Ni2TeBr

Ni2TeBr after structural relaxation (GGA-PBE, the Alexandria database).

Summary:
Its offset from the most stable computed form is 288 meV per atom. As for the formation energy (no corrections): 0.80 eV/f.u. As for the symmetry: Imm2.

a = 6.791 Å, b = 6.791 Å, c = 6.791 Å
α = 150.06°, β = 150.41°, γ = 42.59°
Positions (direct):
Ni1 0.684 0.184 0.500
Ni2 0.975 0.975 0.000
Br1 0.298 0.798 0.500
Te1 0.543 0.543 0.000

=====

Number 1: V 33.4 Å³ per atom. Number 2: V 13.2 Å³ per atom. Number 3: V 22.3 Å³ per atom. Number 4: V 25.5 Å³ per atom. Number 5: V 26.7 Å³ per atom. Number 6: V 29.4 Å³ per atom. Number 7: V 11.9 Å³ per atom. Number 8: V 29.9 Å³ per atom. Number 9: V 36.7 Å³ per atom. Number 10: V 14.9 Å³ per atom. Number 11: V 34.5 Å³ per atom. Number 12: V 19.2 Å³ per atom.